PrErMo | Alexandria | PBE-GGA | optimized geometry; formation energy from the elements = 110 meV per atom; electronic total energy = -6.61 eV per atom
1.0
-1.8730 1.7115 2.1944
-2.7140 -1.7084 -0.9841
2.5671 -9.6967 9.7539
Mo Pr Er
2 2 2
Cartesian
1.0888 -10.0927 8.8010 Mo
-0.8152 0.3976 1.5581 Mo
0.0791 -2.9805 4.9562 Pr
0.1945 -6.7146 5.4029 Pr
1.1566 -7.0502 9.0498 Er
-0.8829 -2.6449 1.3092 Er

***

Be2SbOs | Alexandria | PBE-GGA | optimized geometry; raw formation energy = 365 meV per atom; electronic total energy = -5.34 eV per atom
1.0
4.7133 -0.0088 -0.0006
1.7594 4.3726 0.0006
-3.1496 -2.3106 2.6375
Be Os Sb
2 1 1
Cartesian
6.3722 4.2961 0.0000 Be
2.6401 0.0931 1.3185 Be
3.1684 2.1361 0.0000 Os
0.8515 2.0737 1.3190 Sb

***

La2Pa2Te7 | Alexandria | PBE-GGA | optimized geometry; raw formation energy = -1170 meV per atom; electronic total energy = -5.79 eV per atom
1.0
-3.4547 1.2865 2.3838
-5.6834 -7.9316 0.0862
0.2877 -5.9946 7.6943
Pa La Te
2 2 7
Cartesian
-4.3414 -7.4963 1.7962 Pa
-3.4021 -5.9880 6.3859 Pa
-7.2170 -9.8563 6.9871 La
-2.7415 -3.1429 1.7654 La
-3.1165 -1.1798 4.2050 Te
-5.2463 -8.1220 4.8648 Te
-4.3718 -11.0181 7.6951 Te
-4.8375 -4.9178 3.7281 Te
-1.5129 -5.3751 8.7930 Te
-1.1660 -4.5172 4.7904 Te
-5.1395 -7.2970 8.6167 Te

***

KSrTlRe2 | Alexandria | PBE-GGA | optimized geometry; formation energy from the elements = 2054 meV per atom; electronic total energy = -3.95 eV per atom
1.0
5.1841 0.0000 0.0000
0.0000 5.1841 0.0000
0.0000 0.0000 5.9099
Sr Re Tl K
1 2 1 1
Cartesian
0.0000 0.0000 2.9550 Sr
0.0000 2.5920 0.0000 Re
2.5920 0.0000 0.0000 Re
0.0000 0.0000 0.0000 Tl
2.5920 2.5920 2.9550 K